# NpVMoOs

A relaxed structure of NpVMoOs (PBE, the Alexandria database).

a = 4.538 Å, b = 4.538 Å, c = 4.538 Å
α = 60.00°, β = 60.00°, γ = 60.00°
Sites, in units of the cell vectors:
Np (0.000, 0.000, 0.000)
V (0.500, 0.500, 0.500)
Mo (0.250, 0.250, 0.250)
Os (0.750, 0.750, 0.750)

Summary:
The calculation puts the formation energy at 0.143 eV/atom.